The following is a PBE calculation of a geometry-optimized RbMgAu3 structure, from the Alexandria database.

- Distance to the lowest polymorph of the same formula: 0.0 kJ/mol of formula units
- Electronic total energy: -2.5944 eV per atom
- V: 144.9 Å³/cell
- Calculated formation energy: -0.116 eV per atom

a = 5.252 Å, b = 5.252 Å, c = 5.252 Å
α = 90.00°, β = 90.00°, γ = 90.00°
Space group Pm-3m (No. 221)
Unique sites:
Rb: 0.000 0.000 0.000
Mg: 0.500 0.500 0.500
Au: 0.000 0.500 0.500